Material: Ta2MoAu
Method: DFT, PBE-GGA
State: relaxed

Structure (POSCAR):
```
Ta2MoAu
1.0
3.364 0.000 0.000
0.000 3.364 0.000
0.000 0.000 6.170
Au Ta Mo
1 2 1
Direct
0.000 0.000 0.498
0.500 0.500 0.248
0.000 0.000 0.990
0.500 0.500 0.764
```

ΔH_f (0 K)   0.037 eV per atom
Total moment   0.0000 μB per atom
ΔE to the lowest computed polymorph   0.1235 eV per atom

=====

Material: Ta2MoAu
Method: DFT, PBE-GGA
State: relaxed

Structure (POSCAR):
```
Ta2MoAu
1.0
4.620 0.000 0.000
2.310 4.001 0.000
2.310 1.334 3.772
Mo Ta Au
1 2 1
Direct
0.750 0.750 0.750
0.250 0.250 0.250
0.000 0.000 0.000
0.500 0.500 0.500
```

ΔH_f (0 K)   0.204 eV per atom
Total moment   0.0000 μB per atom
ΔE to the lowest computed polymorph   0.2907 eV per atom

=====

Material: TaMo3Au
Method: DFT, PBE-GGA
State: relaxed

Structure (POSCAR):
```
TaMo3Au
1.0
-0.981 -2.473 3.971
4.655 -0.921 0.576
0.467 3.985 2.597
Mo Ta Au
3 1 1
Direct
0.500 0.000 0.000
0.000 0.000 0.500
0.000 0.500 0.000
0.500 0.500 0.500
0.000 0.000 0.000
```

ΔH_f (0 K)   2.307 eV per atom
Total moment   0.0000 μB per atom
ΔE to the lowest computed polymorph   0.5183 eV per atom

=====

Material: Ta2MoAu
Method: DFT, PBE-GGA
State: relaxed

Structure (POSCAR):
```
Ta2MoAu
1.0
-1.966 -1.976 0.038
0.239 -0.291 -2.763
6.323 -6.267 1.207
Mo Ta Au
1 2 1
Direct
0.500 0.500 0.750
0.000 0.000 0.498
0.000 0.000 0.002
0.500 0.500 0.250
```

ΔH_f (0 K)   0.066 eV per atom
Total moment   0.0000 μB per atom
ΔE to the lowest computed polymorph   0.1522 eV per atom